Compound: YHg4Br
Source: Alexandria via LeMat-Bulk
Functional: PBE
Structure: optimized geometry

Geometry as POSCAR:
```
YHg4Br
1.0
0.0000 4.3151 4.3151
4.3151 0.0000 4.3151
4.3151 4.3151 0.0000
Y Hg Br
1 4 1
Direct
0.0000 0.0000 0.0000
0.3749 0.3749 0.3749
0.3749 0.3749 0.8754
0.3749 0.8754 0.3749
0.8754 0.3749 0.3749
0.7500 0.7500 0.7500
```

Output
- N(E_F) (states/eV per cell) = 4.5
- VASP energy (eV/atom) = -1.69
- formation energy without anion corrections (meV per atom) = -130
- volume (Å³ per cell) = 160.7

Compound: YHgBr
Source: Alexandria via LeMat-Bulk
Functional: PBE
Structure: optimized geometry

Geometry as POSCAR:
```
YHgBr
1.0
0.0000 3.5693 3.5693
3.5693 0.0000 3.5693
3.5693 3.5693 0.0000
Y Hg Br
1 1 1
Direct
0.0000 0.0000 0.0000
0.2500 0.2500 0.2500
0.7500 0.7500 0.7500
```

Output
- N(E_F) (states/eV per cell) = 4.3
- VASP energy (eV/atom) = -3.26
- relative energy among the computed polymorphs (kJ/mol of formula units) = 136
- formation energy without anion corrections (meV per atom) = -443
- volume (Å³ per cell) = 90.9

Compound: YHgBr
Source: Alexandria via LeMat-Bulk
Functional: PBE
Structure: optimized geometry

Geometry as POSCAR:
```
YHgBr
1.0
0.0000 2.9832 7.7578
2.0257 0.0000 7.7578
2.0257 2.9832 0.0000
Y Hg Br
1 1 1
Direct
0.0000 0.0000 0.0000
0.6453 0.6453 0.3547
0.3689 0.3689 0.6311
```

Output
- N(E_F) (states/eV per cell) = 1.9
- VASP energy (eV/atom) = -3.49
- relative energy among the computed polymorphs (kJ/mol of formula units) = 68
- formation energy without anion corrections (meV per atom) = -678
- volume (Å³ per cell) = 93.8

Compound: Y2Hg2Br
Source: Alexandria via LeMat-Bulk
Functional: PBE
Structure: optimized geometry

Geometry as POSCAR:
```
Y2Hg2Br
1.0
7.7565 0.0000 0.0000
0.0000 7.7565 0.0000
0.0000 0.0000 4.5800
Y Hg Br
4 4 2
Direct
0.1616 0.3384 0.0000
0.3384 0.8384 0.0000
0.6616 0.1616 0.0000
0.8384 0.6616 0.0000
0.1387 0.6387 0.5000
0.3613 0.1387 0.5000
0.6387 0.8613 0.5000
0.8613 0.3613 0.5000
0.0000 0.0000 0.0000
0.5000 0.5000 0.0000
```

Output
- N(E_F) (states/eV per cell) = 7.1
- VASP energy (eV/atom) = -3.72
- relative energy among the computed polymorphs (kJ/mol of formula units) = 0
- formation energy without anion corrections (meV per atom) = -682
- volume (Å³ per cell) = 275.6

Compound: YHgBr3
Source: Alexandria via LeMat-Bulk
Functional: PBE
Structure: optimized geometry

Geometry as POSCAR:
```
YHgBr3
1.0
5.6294 0.0000 0.0000
0.0000 5.6294 0.0000
0.0000 0.0000 5.6294
Y Hg Br
1 1 3
Direct
0.0000 0.0000 0.0000
0.5000 0.5000 0.5000
0.0000 0.0000 0.5000
0.0000 0.5000 0.0000
0.5000 0.0000 0.0000
```

Output
- N(E_F) (states/eV per cell) = 0.0
- VASP energy (eV/atom) = -3.73
- relative energy among the computed polymorphs (kJ/mol of formula units) = 36
- formation energy without anion corrections (meV per atom) = -1371
- volume (Å³ per cell) = 178.4

Compound: YHgBr3
Source: Alexandria via LeMat-Bulk
Functional: PBE
Structure: optimized geometry

Geometry as POSCAR:
```
YHgBr3
1.0
5.5611 0.0000 0.0000
0.0000 5.5611 0.0000
0.0000 0.0000 5.5611
Y Hg Br
1 1 3
Direct
0.0000 0.0000 0.0000
0.5000 0.5000 0.5000
0.0000 0.5000 0.5000
0.5000 0.0000 0.5000
0.5000 0.5000 0.0000
```

Output
- N(E_F) (states/eV per cell) = 6.6
- VASP energy (eV/atom) = -2.54
- relative energy among the computed polymorphs (kJ/mol of formula units) = 609
- formation energy without anion corrections (meV per atom) = -182
- volume (Å³ per cell) = 172.0

Compound: Y2Hg2Br
Source: Alexandria via LeMat-Bulk
Functional: PBE
Structure: optimized geometry

Geometry as POSCAR:
```
Y2Hg2Br
1.0
8.5725 0.0000 0.0000
0.0000 8.5725 0.0000
0.0000 0.0000 3.7588
Y Hg Br
4 4 2
Direct
0.1715 0.3285 0.0000
0.3285 0.8285 0.0000
0.6715 0.1715 0.0000
0.8285 0.6715 0.0000
0.1260 0.6260 0.5000
0.3740 0.1260 0.5000
0.6260 0.8740 0.5000
0.8740 0.3740 0.5000
0.0000 0.0000 0.5000
0.5000 0.5000 0.5000
```

Output
- N(E_F) (states/eV per cell) = 6.7
- VASP energy (eV/atom) = -3.49
- relative energy among the computed polymorphs (kJ/mol of formula units) = 115
- formation energy without anion corrections (meV per atom) = -445
- volume (Å³ per cell) = 276.2

Compound: YHg2Br8
Source: Alexandria via LeMat-Bulk
Functional: PBE
Structure: optimized geometry

Geometry as POSCAR:
```
YHg2Br8
1.0
7.0576 -4.6001 0.0000
7.0576 4.6001 0.0000
-1.4719 0.0000 6.6347
Y Hg Br
1 2 8
Direct
0.0000 0.0000 0.0000
0.1974 0.1974 0.6902
0.8026 0.8026 0.3098
0.1329 0.7074 0.2193
0.1794 0.1794 0.2791
0.2926 0.8671 0.7807
0.3804 0.3804 0.8210
0.6196 0.6196 0.1790
0.7074 0.1329 0.2193
0.8206 0.8206 0.7209
0.8671 0.2926 0.7807
```

Output
- N(E_F) (states/eV per cell) = 14.2
- VASP energy (eV/atom) = -2.67
- formation energy without anion corrections (meV per atom) = -810
- volume (Å³ per cell) = 430.8

Compound: YHgBr
Source: Alexandria via LeMat-Bulk
Functional: PBE
Structure: optimized geometry

Geometry as POSCAR:
```
YHgBr
1.0
4.9676 0.0000 0.0000
-2.4838 4.3020 0.0000
0.0000 0.0000 3.9332
Y Hg Br
1 1 1
Direct
0.0000 0.0000 0.0000
0.3333 0.6667 0.5000
0.6667 0.3333 0.0000
```

Output
- N(E_F) (states/eV per cell) = 3.1
- VASP energy (eV/atom) = -3.46
- relative energy among the computed polymorphs (kJ/mol of formula units) = 78
- formation energy without anion corrections (meV per atom) = -644
- volume (Å³ per cell) = 84.1

Compound: YHg3Br
Source: Alexandria via LeMat-Bulk
Functional: PBE
Structure: optimized geometry

Geometry as POSCAR:
```
YHg3Br
1.0
6.0118 0.0000 0.0000
0.0000 6.0118 0.0000
0.0000 0.0000 6.0118
Y Hg Br
1 3 1
Direct
0.0000 0.0000 0.0000
0.0000 0.0000 0.5000
0.0000 0.5000 0.0000
0.5000 0.0000 0.0000
0.5000 0.5000 0.5000
```

Output
- N(E_F) (states/eV per cell) = 3.7
- VASP energy (eV/atom) = -1.74
- relative energy among the computed polymorphs (kJ/mol of formula units) = 0
- formation energy without anion corrections (meV per atom) = 71
- volume (Å³ per cell) = 217.3

Compound: YHgBr
Source: Alexandria via LeMat-Bulk
Functional: PBE
Structure: optimized geometry

Geometry as POSCAR:
```
YHgBr
1.0
3.7770 0.0000 0.0000
-1.8885 3.2710 0.0000
0.0000 0.0000 7.8739
Y Hg Br
1 1 1
Direct
0.0000 0.0000 0.0000
0.3333 0.6667 0.7264
0.6667 0.3333 0.2463
```

Output
- N(E_F) (states/eV per cell) = 1.9
- VASP energy (eV/atom) = -3.62
- relative energy among the computed polymorphs (kJ/mol of formula units) = 30
- formation energy without anion corrections (meV per atom) = -809
- volume (Å³ per cell) = 97.3

Compound: YHgBr
Source: Alexandria via LeMat-Bulk
Functional: PBE
Structure: optimized geometry

Geometry as POSCAR:
```
YHgBr
1.0
-1.8112 1.8112 6.8809
1.8112 -1.8112 6.8809
1.8112 1.8112 -6.8809
Y Hg Br
1 1 1
Direct
0.0000 0.0000 0.0000
0.3657 0.3657 0.0000
0.6229 0.6229 0.0000
```

Output
- N(E_F) (states/eV per cell) = 2.4
- VASP energy (eV/atom) = -3.55
- relative energy among the computed polymorphs (kJ/mol of formula units) = 49
- formation energy without anion corrections (meV per atom) = -742
- volume (Å³ per cell) = 90.3

Results for size of the total moment: 0.000 0.000 0.000 0.000 0.000 0.276 0.000 0.061 0.000 0.000 0.000 0.000 (in μB per atom, following the order of the records).